The following is a GGA-PBE calculation of crystalline NpTlCd2O8 at its relaxed geometry, from Alexandria via LeMat-Bulk.

Output
The symmetry is P2/m. Its density is 7.38 g/cm3. For the volume, the calculation gives 178.67 Å³/cell. The calculation puts the uncorrected formation energy at -1.240 eV per atom.

Geometry as POSCAR:
```
NpTlCd2O8
1.0
5.0081 0.0000 0.0000
0.0000 7.1247 0.0000
-0.2991 0.0000 5.0075
Np Tl Cd O
1 1 2 8
direct
0.0000 0.0000 0.0000
0.0000 0.5000 0.0000
0.5000 0.2507 0.5000
0.5000 0.7493 0.5000
0.1843 0.2048 0.8175
0.1843 0.7952 0.8175
0.2942 0.0000 0.2962
0.2994 0.5000 0.3003
0.7006 0.5000 0.6997
0.7058 0.0000 0.7038
0.8157 0.2048 0.1825
0.8157 0.7952 0.1825
```

---

The following is a GGA-PBE calculation of crystalline U4Sn2H at its relaxed geometry, from Alexandria via LeMat-Bulk.

Output
The symmetry is I4/mmm. Its density is 12.68 g/cm3. For the volume, the calculation gives 155.88 Å³/cell. The value obtained for the calculated total energy is -55.128 eV/f.u.

Geometry as POSCAR:
```
U4Sn2H
1.0
-2.2342 2.2342 7.8072
2.2342 -2.2342 7.8072
2.2342 2.2342 -7.8072
U Sn H
4 2 1
direct
0.0000 0.5000 0.5000
0.1484 0.1484 0.0000
0.5000 0.0000 0.5000
0.8516 0.8516 0.0000
0.3499 0.3499 0.0000
0.6501 0.6501 0.0000
0.0000 0.0000 0.0000
```

---

The following is a GGA-PBE calculation of crystalline KCdIr at its relaxed geometry, from Alexandria via LeMat-Bulk.

Output
The symmetry is I4mm. Its density is 7.24 g/cm3. For the volume, the calculation gives 78.81 Å³/cell. For the formation enthalpy at 0 K, the calculation gives 0.46 eV per atom.

Geometry as POSCAR:
```
KCdIr
1.0
-1.8251 1.8251 5.9146
1.8251 -1.8251 5.9146
1.8251 1.8251 -5.9146
K Cd Ir
1 1 1
direct
0.0000 0.0000 0.0000
0.2751 0.2751 0.0000
0.7120 0.7120 0.0000
```

---

The following is a GGA-PBE calculation of crystalline K3VRu at its relaxed geometry, from Alexandria via LeMat-Bulk.

Output
The symmetry is Pm-3m. Its density is 1.88 g/cm3. For the volume, the calculation gives 238.38 Å³/cell. For the formation enthalpy at 0 K, the calculation gives 1.65 eV per atom.

Geometry as POSCAR:
```
K3VRu
1.0
6.2005 0.0000 0.0000
0.0000 6.2005 0.0000
0.0000 0.0000 6.2005
K V Ru
3 1 1
direct
0.0000 0.0000 0.5000
0.0000 0.5000 0.0000
0.5000 0.0000 0.0000
0.5000 0.5000 0.5000
0.0000 0.0000 0.0000
```

---

The following is a GGA-PBE calculation of crystalline NaFe3As at its relaxed geometry, from Alexandria via LeMat-Bulk.

Output
The symmetry is Pm-3m. Its density is 4.65 g/cm3. For the volume, the calculation gives 94.85 Å³/cell. For the formation enthalpy at 0 K, the calculation gives 0.67 eV per atom.

Geometry as POSCAR:
```
NaFe3As
1.0
4.5605 0.0000 0.0000
0.0000 4.5605 0.0000
0.0000 0.0000 4.5605
Na Fe As
1 3 1
direct
0.0000 0.0000 0.0000
0.0000 0.5000 0.5000
0.5000 0.0000 0.5000
0.5000 0.5000 0.0000
0.5000 0.5000 0.5000
```

---

The following is a GGA-PBE calculation of crystalline CaScZn2 at its relaxed geometry, from Alexandria via LeMat-Bulk.

Output
The symmetry is P4mm. Its density is 3.98 g/cm3. For the volume, the calculation gives 89.99 Å³/cell. For the formation enthalpy at 0 K, the calculation gives -0.08 eV per atom.

Geometry as POSCAR:
```
CaScZn2
1.0
3.3457 0.0000 0.0000
0.0000 3.3457 0.0000
0.0000 0.0000 8.0394
Ca Sc Zn
1 1 2
direct
0.0000 0.0000 0.0000
0.5000 0.5000 0.3576
0.0000 0.0000 0.5661
0.5000 0.5000 0.7396
```

---

The following is a GGA-PBE calculation of crystalline CuP5 at its relaxed geometry, from Alexandria via LeMat-Bulk.

Output
The symmetry is P6/mmm. Its density is 3.88 g/cm3. For the volume, the calculation gives 93.54 Å³/cell. For the formation enthalpy at 0 K, the calculation gives 0.77 eV per atom.

Geometry as POSCAR:
```
CuP5
1.0
4.6217 0.0000 0.0000
-2.3108 4.0025 0.0000
0.0000 0.0000 5.0569
Cu P
1 5
direct
0.0000 0.0000 0.0000
0.0000 0.5000 0.5000
0.3333 0.6667 0.0000
0.5000 0.0000 0.5000
0.5000 0.5000 0.5000
0.6667 0.3333 0.0000
```

---

The following is a GGA-PBE calculation of crystalline Tb3DyP4 at its relaxed geometry, from Alexandria via LeMat-Bulk.

Output
The symmetry is Cmmm. Its density is 6.88 g/cm3. For the volume, the calculation gives 184.15 Å³/cell. For the formation enthalpy at 0 K, the calculation gives -1.61 eV per atom.

Geometry as POSCAR:
```
Tb3DyP4
1.0
4.0224 -5.6880 0.0000
4.0224 5.6880 0.0000
0.0000 0.0000 4.0243
Tb Dy P
3 1 4
direct
0.0000 0.0000 0.0000
0.0000 0.5000 0.5000
0.5000 0.0000 0.5000
0.5000 0.5000 0.0000
0.2505 0.7495 0.0000
0.2508 0.2508 0.5000
0.7492 0.7492 0.5000
0.7495 0.2505 0.0000
```

---

The following is a GGA-PBE calculation of crystalline Li3Pm2Hg4 at its relaxed geometry, from Alexandria via LeMat-Bulk.

Output
The symmetry is Cmce. Its density is 9.10 g/cm3. For the volume, the calculation gives 406.25 Å³/cell. For the formation enthalpy at 0 K, the calculation gives -0.38 eV per atom.

Geometry as POSCAR:
```
Li3Pm2Hg4
1.0
3.0717 -7.9542 0.0000
3.0717 7.9542 0.0000
0.0000 0.0000 8.3138
Li Pm Hg
6 4 8
direct
0.0000 0.0000 0.0000
0.0334 0.4666 0.2500
0.4666 0.0334 0.7500
0.5000 0.5000 0.5000
0.5334 0.9666 0.2500
0.9666 0.5334 0.7500
0.1171 0.8829 0.4196
0.3829 0.6171 0.9196
0.6171 0.3829 0.0804
0.8829 0.1171 0.5804
0.1827 0.8173 0.0387
0.2041 0.2959 0.2500
0.2959 0.2041 0.7500
0.3173 0.6827 0.5387
0.6827 0.3173 0.4613
0.7041 0.7959 0.2500
0.7959 0.7041 0.7500
0.8173 0.1827 0.9613
```

---

The following is a GGA-PBE calculation of crystalline CsBaSCl2 at its relaxed geometry, from Alexandria via LeMat-Bulk.

Output
The symmetry is P4/mmm. Its density is 2.75 g/cm3. For the volume, the calculation gives 225.54 Å³/cell. The calculation puts the uncorrected formation energy at -1.607 eV per atom.

Geometry as POSCAR:
```
CsBaSCl2
1.0
6.0564 0.0000 0.0000
0.0000 6.0564 0.0000
0.0000 0.0000 6.1489
Cs Ba S Cl
1 1 1 2
direct
0.0000 0.0000 0.0000
0.5000 0.5000 0.5000
0.5000 0.5000 0.0000
0.0000 0.5000 0.5000
0.5000 0.0000 0.5000
```

---

The following is a GGA-PBE calculation of crystalline PuPaNi4 at its relaxed geometry, from Alexandria via LeMat-Bulk.

Output
The symmetry is F-43m. Its density is 13.11 g/cm3. For the volume, the calculation gives 89.91 Å³/cell. For the formation enthalpy at 0 K, the calculation gives -0.37 eV per atom.

Geometry as POSCAR:
```
PuPaNi4
1.0
0.0000 3.5557 3.5557
3.5557 0.0000 3.5557
3.5557 3.5557 0.0000
Pu Pa Ni
1 1 4
direct
0.0000 0.0000 0.0000
0.7500 0.7500 0.7500
0.3752 0.3752 0.3752
0.3752 0.3752 0.8745
0.3752 0.8745 0.3752
0.8745 0.3752 0.3752
```

---

The following is a GGA-PBE calculation of crystalline K3Tl2In4 at its relaxed geometry, from Alexandria via LeMat-Bulk.

Output
The symmetry is P3m1. Its density is 5.48 g/cm3. For the volume, the calculation gives 597.02 Å³/cell. For the formation enthalpy at 0 K, the calculation gives -0.10 eV per atom.

Geometry as POSCAR:
```
K3Tl2In4
1.0
5.3332 0.0000 0.0000
-2.6666 4.6187 0.0000
0.0000 0.0000 24.2372
K Tl In
6 4 8
direct
0.0000 0.0000 0.0000
0.0000 0.0000 0.1650
0.0000 0.0000 0.3319
0.0000 0.0000 0.4979
0.0000 0.0000 0.6678
0.0000 0.0000 0.8334
0.3333 0.6667 0.5683
0.6667 0.3333 0.2460
0.6667 0.3333 0.5817
0.6667 0.3333 0.9150
0.3333 0.6667 0.0951
0.3333 0.6667 0.2348
0.3333 0.6667 0.4254
0.3333 0.6667 0.7636
0.3333 0.6667 0.9028
0.6667 0.3333 0.0863
0.6667 0.3333 0.4198
0.6667 0.3333 0.7547
```